Material: Tb3Pr6Tm2Mg
Method: DFT, PBE-GGA
State: relaxed

abc: 6.276 6.276 11.803
angles: 95.09 95.09 120.00
Positions (direct):
1 Tb 0.167 0.833 0.500
2 Tb 0.833 0.167 0.500
3 Tb 0.500 0.500 0.500
4 Pr 0.918 0.585 0.754
5 Pr 0.749 0.749 0.248
6 Pr 0.082 0.415 0.246
7 Pr 0.585 0.918 0.754
8 Pr 0.251 0.251 0.752
9 Pr 0.415 0.082 0.246
10 Tm 0.333 0.667 0.000
11 Tm 0.667 0.333 0.000
12 Mg 0.000 0.000 0.000

Output
Its space group is C2/m. The calculation puts the energy of formation at 0.0264 eV/atom.